No. 1
{"formula": "Ba2Pb2O", "functional": "PBE-GGA", "state": "optimized geometry", "cell": [[-2.1100, 2.1100, 9.4277], [2.1100, -2.1100, 9.4277], [2.1100, 2.1100, -9.4277]], "species": ["Ba", "Ba", "Pb", "Pb", "O"], "frac_coords": [[0.0884, 0.0884, 0.0000], [0.9116, 0.9116, 0.0000], [0.2500, 0.7500, 0.5000], [0.7500, 0.2500, 0.5000], [0.5000, 0.5000, 0.0000]], "de_polymorph_mev_per_atom": 204.0, "e_form_raw_ev_per_atom": -0.595, "dos_ef_per_ev_atom": 0.42}


No. 2
{"formula": "Cu2TePt", "functional": "PBE-GGA", "state": "optimized geometry", "cell": [[3.4942, 0.0000, 0.0000], [0.0000, 3.4942, 0.0000], [0.0000, 0.0000, 5.3975]], "species": ["Cu", "Cu", "Te", "Pt"], "frac_coords": [[0.0000, 0.0000, 0.0000], [0.5000, 0.5000, 0.2165], [0.5000, 0.5000, 0.7164], [0.0000, 0.0000, 0.4701]], "e_form_raw_ev_per_atom": 0.105, "dos_ef_per_ev_atom": 0.53}


No. 3
{"formula": "Cr2GaHRu", "functional": "PBE-GGA", "state": "optimized geometry", "cell": [[3.7382, 0.0000, 0.0000], [0.0000, 3.7382, 0.0000], [0.0000, 0.0000, 3.9308]], "species": ["Cr", "Cr", "Ga", "H", "Ru"], "frac_coords": [[0.0000, 0.5000, 0.0000], [0.5000, 0.0000, 0.0000], [0.0000, 0.0000, 0.5000], [0.5000, 0.5000, 0.0000], [0.5000, 0.5000, 0.5000]], "energy_ha_per_atom": -0.2544, "dos_ef_per_ev_atom": 1.27}


No. 4
{"formula": "TcAg2Hg", "functional": "PBE-GGA", "state": "optimized geometry", "cell": [[1.4434, 0.8334, 9.9097], [-1.4434, 0.8334, 9.9097], [0.0000, -1.6667, 9.9097]], "species": ["Tc", "Ag", "Ag", "Hg"], "frac_coords": [[0.0000, 0.0000, 0.0000], [0.2545, 0.2545, 0.2545], [0.7455, 0.7455, 0.7455], [0.5000, 0.5000, 0.5000]], "formation_energy_mev_per_atom": 419.2, "dos_ef_per_ev_atom": 0.77}


No. 5
{"formula": "AlBi2I", "functional": "PBE-GGA", "state": "optimized geometry", "cell": [[-2.9824, 2.9824, 8.9942], [2.9824, -2.9824, 8.9942], [2.9824, 2.9824, -8.9942]], "species": ["Al", "Al", "Bi", "Bi", "Bi", "Bi", "I", "I"], "frac_coords": [[0.0000, 0.0000, 0.0000], [0.7500, 0.2500, 0.5000], [0.0241, 0.6250, 0.8991], [0.3750, 0.2741, 0.3991], [0.7259, 0.1250, 0.1009], [0.8750, 0.9759, 0.6009], [0.2500, 0.7500, 0.5000], [0.5000, 0.5000, 0.0000]], "de_polymorph_mev_per_atom": 0.0, "e_form_raw_ev_per_atom": 0.324, "dos_ef_per_ev_atom": 0.60}


No. 6
{"formula": "ZrZnNi", "functional": "PBE-GGA", "state": "optimized geometry", "cell": [[4.9889, -2.0994, 0.0000], [4.9889, 2.0994, 0.0000], [-0.7509, 0.0000, 4.6119]], "species": ["Zr", "Zr", "Zn", "Zn", "Ni", "Ni"], "frac_coords": [[0.1189, 0.1189, 0.2981], [0.8811, 0.8811, 0.7019], [0.4153, 0.4153, 0.2455], [0.5847, 0.5847, 0.7545], [0.2258, 0.2258, 0.8319], [0.7742, 0.7742, 0.1681]], "formation_energy_mev_per_atom": -339.5, "dos_ef_per_ev_atom": 0.67}


No. 7
{"formula": "TbPr2ErTm", "functional": "PBE-GGA", "state": "optimized geometry", "cell": [[4.2135, -5.7719, 0.0000], [4.2135, 5.7719, 0.0000], [0.0000, 0.0000, 7.3050]], "species": ["Tb", "Tb", "Pr", "Pr", "Pr", "Pr", "Er", "Er", "Tm", "Tm"], "frac_coords": [[0.0219, 0.9781, 0.7500], [0.9781, 0.0219, 0.2500], [0.3063, 0.3063, 0.0000], [0.3063, 0.3063, 0.5000], [0.6937, 0.6937, 0.0000], [0.6937, 0.6937, 0.5000], [0.2605, 0.7395, 0.2500], [0.7395, 0.2605, 0.7500], [0.2859, 0.7141, 0.7500], [0.7141, 0.2859, 0.2500]], "formation_energy_mev_per_atom": 444.2, "dos_ef_per_ev_atom": 1.40}


No. 8
{"formula": "AgGeI2O", "functional": "PBE-GGA", "state": "optimized geometry", "cell": [[5.8532, 0.0000, 0.0000], [0.0000, 5.8532, 0.0000], [0.0000, 0.0000, 3.7572]], "species": ["Ag", "Ge", "I", "I", "O"], "frac_coords": [[0.0000, 0.0000, 0.0000], [0.5000, 0.5000, 0.5000], [0.0000, 0.5000, 0.5000], [0.5000, 0.0000, 0.5000], [0.5000, 0.5000, 0.0000]], "de_polymorph_mev_per_atom": 0.0, "e_form_raw_ev_per_atom": -0.192, "dos_ef_per_ev_atom": 0.20}


No. 9
{"formula": "LiYBeGa", "functional": "PBE-GGA", "state": "optimized geometry", "cell": [[0.0000, 3.1738, 3.1738], [3.1738, 0.0000, 3.1738], [3.1738, 3.1738, 0.0000]], "species": ["Li", "Y", "Be", "Ga"], "frac_coords": [[0.0000, 0.0000, 0.0000], [0.2500, 0.2500, 0.2500], [0.5000, 0.5000, 0.5000], [0.7500, 0.7500, 0.7500]], "formation_energy_mev_per_atom": -180.5, "dos_ef_per_ev_atom": 0.24}


No. 10
{"formula": "TmThRePd", "functional": "PBE-GGA", "state": "optimized geometry", "cell": [[0.0000, 3.5129, 3.5129], [3.5129, 0.0000, 3.5129], [3.5129, 3.5129, 0.0000]], "species": ["Tm", "Th", "Re", "Pd"], "frac_coords": [[0.0000, 0.0000, 0.0000], [0.5000, 0.5000, 0.5000], [0.2500, 0.2500, 0.2500], [0.7500, 0.7500, 0.7500]], "formation_energy_mev_per_atom": -342.7, "dos_ef_per_ev_atom": 0.62}


No. 11
{"formula": "TmGa2PRu2", "functional": "PBE-GGA", "state": "optimized geometry", "cell": [[4.4211, 0.0000, 0.0000], [0.0000, 4.4211, 0.0000], [0.0000, 0.0000, 5.4697]], "species": ["Tm", "Ga", "Ga", "P", "Ru", "Ru"], "frac_coords": [[0.0000, 0.0000, 0.0000], [0.5000, 0.5000, 0.2243], [0.5000, 0.5000, 0.7757], [0.0000, 0.0000, 0.5000], [0.0000, 0.5000, 0.5000], [0.5000, 0.0000, 0.5000]], "formation_energy_mev_per_atom": -419.0, "dos_ef_per_ev_atom": 0.76}


No. 12
{"formula": "LuBi6", "functional": "PBE-GGA", "state": "optimized geometry", "cell": [[-4.4000, 4.4000, 4.4000], [4.4000, -4.4000, 4.4000], [4.4000, 4.4000, -4.4000]], "species": ["Lu", "Bi", "Bi", "Bi", "Bi", "Bi", "Bi"], "frac_coords": [[0.0000, 0.0000, 0.0000], [0.2500, 0.5000, 0.7500], [0.2500, 0.7500, 0.5000], [0.5000, 0.2500, 0.7500], [0.5000, 0.7500, 0.2500], [0.7500, 0.2500, 0.5000], [0.7500, 0.5000, 0.2500]], "formation_energy_mev_per_atom": 544.4, "dos_ef_per_ev_atom": 0.82}